#A
# RbLaAl2Cu (PBE, relaxed)
data_RbLaAl2Cu
_cell_length_a 6.020
_cell_length_b 5.510
_cell_length_c 6.020
_cell_angle_alpha 90.00
_cell_angle_beta 90.00
_cell_angle_gamma 90.00
_symmetry_space_group_name_H-M 'P 1'
_symmetry_Int_Tables_number 1
_symmetry_space_group_name_Hall 'P 1'
loop_
_atom_site_label
_atom_site_type_symbol
_atom_site_fract_x
_atom_site_fract_y
_atom_site_fract_z
Al1 Al 0.000 0.000 0.500
Al2 Al 0.500 0.000 0.000
Cu1 Cu 0.000 0.500 0.000
Rb1 Rb 0.500 0.500 0.500
La1 La 0.000 0.000 0.000
# * density of states at the Fermi level: 1.13 states/eV per atom

#B
# RbLaAl2Cu (PBE, relaxed)
data_RbLaAl2Cu
_cell_length_a 5.539
_cell_length_b 5.685
_cell_length_c 5.539
_cell_angle_alpha 90.00
_cell_angle_beta 90.00
_cell_angle_gamma 90.00
_symmetry_space_group_name_H-M 'P 1'
_symmetry_Int_Tables_number 1
_symmetry_space_group_name_Hall 'P 1'
loop_
_atom_site_label
_atom_site_type_symbol
_atom_site_fract_x
_atom_site_fract_y
_atom_site_fract_z
Al1 Al 0.000 0.000 0.500
Al2 Al 0.500 0.000 0.000
Cu1 Cu 0.500 0.500 0.500
Rb1 Rb 0.000 0.000 0.000
La1 La 0.000 0.500 0.000
# * density of states at the Fermi level: 1.26 states/eV per atom

Question: which arrangement is favored energetically? Ranking from most to least stable: #A, #B.

#A
# LiAlCu3 (PBE, relaxed)
data_LiAlCu3
_cell_length_a 4.978
_cell_length_b 4.978
_cell_length_c 7.056
_cell_angle_alpha 69.34
_cell_angle_beta 69.34
_cell_angle_gamma 60.00
_symmetry_space_group_name_H-M 'P 1'
_symmetry_Int_Tables_number 1
_symmetry_space_group_name_Hall 'P 1'
loop_
_atom_site_label
_atom_site_type_symbol
_atom_site_fract_x
_atom_site_fract_y
_atom_site_fract_z
Li1 Li 0.334 0.334 0.997
Li2 Li 0.666 0.666 0.003
Al1 Al 0.081 0.081 0.758
Al2 Al 0.919 0.919 0.242
Cu1 Cu 0.110 0.616 0.658
Cu2 Cu 0.616 0.110 0.658
Cu3 Cu 0.384 0.384 0.342
Cu4 Cu 0.384 0.890 0.342
Cu5 Cu 0.890 0.384 0.342
Cu6 Cu 0.616 0.616 0.658
# * density of states at the Fermi level: 0.20 states/eV per atom

#B
# LiAlCu3 (PBE, relaxed)
data_LiAlCu3
_cell_length_a 4.564
_cell_length_b 4.564
_cell_length_c 4.564
_cell_angle_alpha 90.00
_cell_angle_beta 90.00
_cell_angle_gamma 90.00
_symmetry_space_group_name_H-M 'P 1'
_symmetry_Int_Tables_number 1
_symmetry_space_group_name_Hall 'P 1'
loop_
_atom_site_label
_atom_site_type_symbol
_atom_site_fract_x
_atom_site_fract_y
_atom_site_fract_z
Al1 Al 0.000 0.000 0.000
Cu1 Cu 0.000 0.500 0.000
Cu2 Cu 0.000 0.000 0.500
Cu3 Cu 0.500 0.000 0.000
Li1 Li 0.500 0.500 0.500
# * density of states at the Fermi level: 0.38 states/eV per atom

#C
# LiAlCu3 (PBE, relaxed)
data_LiAlCu3
_cell_length_a 4.698
_cell_length_b 5.061
_cell_length_c 6.573
_cell_angle_alpha 112.64
_cell_angle_beta 90.00
_cell_angle_gamma 90.00
_symmetry_space_group_name_H-M 'P 1'
_symmetry_Int_Tables_number 1
_symmetry_space_group_name_Hall 'P 1'
loop_
_atom_site_label
_atom_site_type_symbol
_atom_site_fract_x
_atom_site_fract_y
_atom_site_fract_z
Li1 Li 0.750 0.427 0.854
Li2 Li 0.250 0.573 0.146
Al1 Al 0.750 0.822 0.644
Al2 Al 0.250 0.178 0.356
Cu1 Cu 0.750 0.905 0.306
Cu2 Cu 0.750 0.401 0.306
Cu3 Cu 0.250 0.599 0.694
Cu4 Cu 0.250 0.095 0.694
Cu5 Cu 0.000 0.000 0.000
Cu6 Cu 0.500 0.000 0.000
# * density of states at the Fermi level: 0.28 states/eV per atom

Question: which arrangement is favored energetically? Ranking from most to least stable: #A, #C, #B.

#A
# Li2AlCu2 (PBE, relaxed)
data_Li2AlCu2
_cell_length_a 6.507
_cell_length_b 6.507
_cell_length_c 3.367
_cell_angle_alpha 90.00
_cell_angle_beta 90.00
_cell_angle_gamma 90.00
_symmetry_space_group_name_H-M 'P 1'
_symmetry_Int_Tables_number 1
_symmetry_space_group_name_Hall 'P 1'
loop_
_atom_site_label
_atom_site_type_symbol
_atom_site_fract_x
_atom_site_fract_y
_atom_site_fract_z
Al1 Al 0.000 0.000 0.000
Al2 Al 0.500 0.500 0.000
Cu1 Cu 0.364 0.864 0.000
Cu2 Cu 0.864 0.636 0.000
Cu3 Cu 0.636 0.136 0.000
Cu4 Cu 0.136 0.364 0.000
Li1 Li 0.165 0.665 0.500
Li2 Li 0.665 0.835 0.500
Li3 Li 0.835 0.335 0.500
Li4 Li 0.335 0.165 0.500
# * density of states at the Fermi level: 0.34 states/eV per atom

#B
# Li2AlCu2 (PBE, relaxed)
data_Li2AlCu2
_cell_length_a 6.917
_cell_length_b 4.692
_cell_length_c 7.583
_cell_angle_alpha 58.97
_cell_angle_beta 62.87
_cell_angle_gamma 42.52
_symmetry_space_group_name_H-M 'P 1'
_symmetry_Int_Tables_number 1
_symmetry_space_group_name_Hall 'P 1'
loop_
_atom_site_label
_atom_site_type_symbol
_atom_site_fract_x
_atom_site_fract_y
_atom_site_fract_z
Li1 Li 0.261 0.123 0.501
Li2 Li 0.885 0.377 0.999
Li3 Li 0.739 0.877 0.499
Li4 Li 0.115 0.623 0.001
Al1 Al 0.360 0.750 0.250
Al2 Al 0.640 0.250 0.750
Cu1 Cu 0.427 0.869 0.866
Cu2 Cu 0.837 0.369 0.366
Cu3 Cu 0.573 0.131 0.134
Cu4 Cu 0.163 0.631 0.634
# * density of states at the Fermi level: 0.35 states/eV per atom

Question: which arrangement is favored energetically? Ranking from most to least stable: #B, #A.